Entry 1:
Nd7Pt2Pb2 | PBE | relaxed

Structure (POSCAR):
```
Nd7Pt2Pb2
1.0
-3.121 3.849 5.193
4.307 -3.171 4.938
5.563 3.871 -2.365
Nd Pt Pb
7 2 2
Cartesian
0.752 4.983 5.257
7.219 3.426 3.924
5.997 -0.435 2.509
-0.470 1.123 3.842
0.000 0.000 0.000
4.505 1.440 5.183
2.244 3.108 2.582
3.638 0.684 7.997
3.111 3.864 -0.231
4.155 4.740 4.786
2.594 -0.192 2.979
```

Properties
- VASP energy: -5.33 eV/atom
- ΔH_f (0 K): -0.5191 eV per atom
- N(E_F): 12.24 states/eV/cell
- SG: Cmmm, No. 65

---

Entry 2:
Nd2PtPb | PBE | relaxed

Structure (POSCAR):
```
Nd2PtPb
1.0
-1.693 0.478 3.692
-3.918 -1.009 0.600
0.483 -8.067 3.531
Nd Pt Pb
2 1 1
Cartesian
0.012 -6.488 3.111
-1.401 -1.751 1.850
-3.737 -0.364 2.864
-2.565 -4.293 3.910
```

Properties
- VASP energy: -5.52 eV/atom
- ΔH_f (0 K): -0.6961 eV per atom
- N(E_F): 3.66 states/eV/cell
- SG: R3m, No. 160

---

Entry 3:
Nd3PtPb2 | PBE | relaxed

Structure (POSCAR):
```
Nd3PtPb2
1.0
-1.190 3.016 -3.317
-5.176 -8.988 -6.316
-11.039 2.180 5.944
Nd Pt Pb
12 4 8
Cartesian
-2.802 -2.438 -2.834
-14.604 -1.353 -0.855
-10.309 -4.570 -5.322
-7.097 0.779 1.633
-6.542 -5.005 -3.826
-10.864 1.213 0.137
-4.811 1.049 -2.185
-12.595 -4.840 -1.504
-6.828 -2.467 -1.415
-10.578 -1.324 -2.273
-7.135 -6.021 -7.780
-10.270 2.230 4.092
-2.310 -0.125 -0.907
-15.095 -3.666 -2.782
-8.308 -2.555 -4.208
-9.097 -1.236 0.519
-9.461 -4.396 -2.224
-7.945 0.605 -1.464
-12.898 2.678 2.199
-4.508 -6.470 -5.888
-8.918 -7.500 -5.242
-8.488 3.709 1.554
-5.501 -1.779 -4.510
-11.905 -2.012 0.821
```

Properties
- VASP energy: -5.34 eV/atom
- Offset from the most stable computed form: 0.00 eV/f.u.
- ΔH_f (0 K): -0.7134 eV per atom
- N(E_F): 19.04 states/eV/cell
- SG: Pnma, No. 62

---

Entry 4:
Nd2PtPb | PBE | relaxed

Structure (POSCAR):
```
Nd2PtPb
1.0
-0.284 1.177 3.419
-0.857 -3.353 1.083
7.987 -1.643 1.228
Pb Nd Pt
1 2 1
Cartesian
3.424 -1.910 2.865
6.291 -1.294 0.967
1.696 -0.349 0.261
-0.570 -1.088 2.251
```

Properties
- VASP energy: -5.60 eV/atom
- ΔH_f (0 K): -0.7832 eV per atom
- N(E_F): 3.28 states/eV/cell
- SG: P4/mmm, No. 123

---

Entry 5:
Nd3PtPb2 | PBE | relaxed

Structure (POSCAR):
```
Nd3PtPb2
1.0
-5.415 2.683 -2.362
0.781 -4.132 -6.485
-1.343 -5.445 5.806
Nd Pt Pb
6 2 4
Cartesian
-1.710 -0.089 -2.452
-2.924 -1.360 -6.395
-0.698 -1.936 0.944
-4.732 -3.357 -0.334
-1.245 -3.537 -2.707
-5.279 -4.958 -3.986
-0.066 -2.776 -5.148
-4.568 1.327 -3.699
-4.136 -1.936 -3.375
-3.466 -0.396 0.330
-2.511 -6.498 -3.371
-1.840 -4.958 0.334
```

Properties
- VASP energy: -5.22 eV/atom
- Offset from the most stable computed form: 0.70 eV/f.u.
- ΔH_f (0 K): -0.5960 eV per atom
- N(E_F): 8.67 states/eV/cell
- SG: C2/c, No. 15

---

Entry 6:
NdPt4Pb | PBE | relaxed

Structure (POSCAR):
```
NdPt4Pb
1.0
-3.494 -1.434 -3.991
-3.169 -4.451 0.590
-5.414 0.562 0.755
Pb Nd Pt
1 1 4
Cartesian
-3.019 -1.331 -0.662
0.000 0.000 0.000
-4.841 -3.608 -2.031
-5.964 -1.102 -1.949
-7.548 -3.327 -1.654
-5.801 -2.610 0.342
```

Properties
- VASP energy: -6.14 eV/atom
- ΔH_f (0 K): -0.7029 eV per atom
- N(E_F): 3.81 states/eV/cell
- SG: F-43m, No. 216

---

- Look up the VASP energy of the second one.
  -5.52 eV/atom